A plane-wave DFT calculation with GGA-PBE was carried out for a relaxed Pm6Y4Pu crystal.

Properties
- Symmetry: No. 63
- Calculated volume: 33.63 A^3/atom
- Density of states at the Fermi level: 39.36 states/eV/cell
- Formation energy: 0.17 eV/atom
- Electronic total energy: -6.077 eV/atom

Cell: 11.8855 11.8855 17.5784 Å, 90.00 90.00 162.67°
Positions (direct):
Pm  0.0000  0.0000  0.0000
Pm  0.0000  0.0000  0.5000
Pm  0.2536  0.7464  0.7500
Pm  0.2595  0.7405  0.0822
Pm  0.2595  0.7405  0.4178
Pm  0.4882  0.5118  0.6616
Pm  0.4882  0.5118  0.8384
Pm  0.5118  0.4882  0.1616
Pm  0.5118  0.4882  0.3384
Pm  0.7405  0.2595  0.5822
Pm  0.7405  0.2595  0.9178
Pm  0.7464  0.2536  0.2500
Y  0.1177  0.8823  0.6415
Y  0.1177  0.8823  0.8585
Y  0.3700  0.6300  0.5494
Y  0.3700  0.6300  0.9506
Y  0.6300  0.3700  0.0494
Y  0.6300  0.3700  0.4506
Y  0.8823  0.1177  0.1415
Y  0.8823  0.1177  0.3585
Pu  0.1243  0.8757  0.2500
Pu  0.8757  0.1243  0.7500

***

A plane-wave DFT calculation with GGA-PBE was carried out for a relaxed In2TePb crystal.

Properties
- Symmetry: No. 99
- Calculated volume: 29.46 A^3/atom
- Density of states at the Fermi level: 2.04 states/eV/cell
- Polymorph energy (0 for the lowest one): 11.2 kJ/mol of atoms
- Electronic total energy: -3.050 eV/atom

Cell: 3.5244 3.5244 9.4863 Å, 90.00 90.00 90.00°
Positions (direct):
In  0.0000  0.0000  0.0000
In  0.5000  0.5000  0.2478
Te  0.5000  0.5000  0.7662
Pb  0.0000  0.0000  0.5009

***

A plane-wave DFT calculation with GGA-PBE was carried out for a relaxed SrLi2BiO4 crystal.

Properties
- Symmetry: No. 121
- Calculated volume: 14.05 A^3/atom
- Density of states at the Fermi level: 2.13 states/eV/cell
- Electronic total energy: -5.443 eV/atom

Cell: 5.3403 5.3403 5.3403 Å, 116.71 116.71 95.79°
Positions (direct):
Sr  0.0000  0.0000  0.0000
Li  0.2500  0.7500  0.5000
Li  0.7500  0.2500  0.5000
Bi  0.5000  0.5000  0.0000
O  0.1044  0.5514  0.0000
O  0.4486  0.4486  0.5529
O  0.5514  0.1044  0.0000
O  0.8956  0.8956  0.4471

***

A plane-wave DFT calculation with GGA-PBE was carried out for a relaxed Er6ZnPt5 crystal.

Properties
- Symmetry: No. 12
- Calculated volume: 20.97 A^3/atom
- Density of states at the Fermi level: 7.78 states/eV/cell
- Formation energy: -1.12 eV/atom
- Electronic total energy: -6.029 eV/atom

Cell: 8.5280 8.5280 4.8926 Å, 106.60 106.60 48.12°
Positions (direct):
Er  0.0781  0.5849  0.3314
Er  0.2422  0.7578  0.0000
Er  0.4151  0.9219  0.6686
Er  0.5849  0.0781  0.3314
Er  0.7578  0.2422  0.0000
Er  0.9219  0.4151  0.6686
Zn  0.5000  0.5000  0.5000
Pt  0.0000  0.0000  0.5000
Pt  0.1720  0.1720  0.1724
Pt  0.3450  0.3450  0.8448
Pt  0.6550  0.6550  0.1552
Pt  0.8280  0.8280  0.8276

***

A plane-wave DFT calculation with GGA-PBE was carried out for a relaxed TlZnSeBr2 crystal.

Properties
- Symmetry: No. 123
- Calculated volume: 28.94 A^3/atom
- Density of states at the Fermi level: 4.19 states/eV/cell
- Polymorph energy (0 for the lowest one): 0.0 kJ/mol of atoms
- Electronic total energy: -2.492 eV/atom

Cell: 5.3968 5.3968 4.9677 Å, 90.00 90.00 90.00°
Positions (direct):
Tl  0.0000  0.0000  0.0000
Zn  0.5000  0.5000  0.5000
Se  0.5000  0.5000  0.0000
Br  0.0000  0.5000  0.5000
Br  0.5000  0.0000  0.5000

***

A plane-wave DFT calculation with GGA-PBE was carried out for a relaxed CaPm3Sm crystal.

Properties
- Symmetry: No. 65
- Calculated volume: 36.05 A^3/atom
- Density of states at the Fermi level: 16.13 states/eV/cell
- Polymorph energy (0 for the lowest one): 0.0 kJ/mol of atoms
- Formation energy: 0.17 eV/atom
- Electronic total energy: -4.022 eV/atom

Cell: 6.3437 6.3437 11.4257 Å, 90.00 90.00 128.37°
Positions (direct):
Ca  0.1559  0.8441  0.0000
Ca  0.8441  0.1559  0.0000
Pm  0.1532  0.8468  0.3058
Pm  0.1532  0.8468  0.6942
Pm  0.5000  0.5000  0.1872
Pm  0.5000  0.5000  0.8128
Pm  0.8468  0.1532  0.3058
Pm  0.8468  0.1532  0.6942
Sm  0.3620  0.6380  0.5000
Sm  0.6380  0.3620  0.5000